Entry from the Alexandria database: an optimized crystal structure of Cd3Au2 (PBE-GGA). Values from VASP.

ΔE_f   -0.0192 eV/atom
Total magnetic moment   0.00 μB per atom
Electronic total energy   -1.879 eV per atom
Relative energy among the computed polymorphs   0.164 eV/atom

```
&SYSTEM
  ibrav = 0, nat = 5, ntyp = 2
/
ATOMIC_SPECIES
Cd 112.41 Cd.upf
Au 196.97 Au.upf
ATOMIC_POSITIONS crystal
Cd 0.0000 0.0000 0.0000
Cd 0.4084 0.4084 0.4084
Cd 0.5916 0.5916 0.5916
Au 0.1972 0.1972 0.1972
Au 0.8028 0.8028 0.8028
CELL_PARAMETERS angstrom
1.4860 0.8579 13.6472
-1.4860 0.8579 13.6472
0.0000 -1.7158 13.6472
```